#P
An optimized crystal structure of ScTaSn2. Source: Alexandria, functional PBE-GGA.

Geometry as extended XYZ:
```
8
Lattice="7.770 0.000 0.000 0.000 7.770 0.000 3.885 3.885 3.074" Properties=species:S:1:pos:R:3 pbc="T T T"
Sc 3.885 3.885 0.000
Sc 3.885 7.770 1.537
Sn 5.904 1.943 0.769
Sn 1.867 5.828 0.769
Sn 5.828 5.752 2.306
Sn 9.713 9.789 2.306
Ta 0.000 0.000 0.000
Ta 7.770 3.885 1.537
```

Calculated values
DOS at the Fermi energy, states/eV/cell: 1.0
ρ, g/cm3: 8.290

---

#Q
An optimized crystal structure of ScTaSn2. Source: Alexandria, functional PBE-GGA.

Geometry as extended XYZ:
```
4
Lattice="3.150 0.000 0.000 1.575 2.728 0.000 1.575 0.909 10.843" Properties=species:S:1:pos:R:3 pbc="T T T"
Sc 3.150 1.819 5.422
Sn 1.575 0.909 7.977
Sn 4.725 2.728 2.866
Ta 0.000 0.000 0.000
```

Calculated values
DOS at the Fermi energy, states/eV/cell: 6.6
ρ, g/cm3: 8.256

---

#R
An optimized crystal structure of ScTaSn2. Source: Alexandria, functional PBE-GGA.

Geometry as extended XYZ:
```
4
Lattice="2.689 -3.528 2.152 -2.083 -4.308 1.189 1.173 -4.080 -2.506" Properties=species:S:1:pos:R:3 pbc="T T T"
Sc 0.000 0.000 0.000
Sn 0.445 -2.979 0.209
Sn 1.334 -8.937 0.626
Ta 0.889 -5.958 0.417
```

Calculated values
DOS at the Fermi energy, states/eV/cell: 6.8
ρ, g/cm3: 9.079

---

What is the stability order? It is #R, #P, #Q, from most stable to least stable.

---

#P
An optimized crystal structure of TbScSn2. Source: Alexandria, functional PBE-GGA.

Geometry as extended XYZ:
```
4
Lattice="-1.382 -1.724 -2.946 2.082 -2.384 -1.883 -2.667 -8.077 3.675" Properties=species:S:1:pos:R:3 pbc="T T T"
Sc -0.983 -6.092 -0.577
Tb 0.000 0.000 0.000
Sn -1.439 -9.054 -0.932
Sn -0.528 -3.130 -0.222
```

Calculated values
DOS at the Fermi energy, states/eV/cell: 1.7
ρ, g/cm3: 6.918

---

#Q
An optimized crystal structure of TbScSn2. Source: Alexandria, functional PBE-GGA.

Geometry as extended XYZ:
```
4
Lattice="4.390 0.000 0.000 0.000 4.744 0.000 0.000 0.000 4.744" Properties=species:S:1:pos:R:3 pbc="T T T"
Sc 2.195 0.000 0.000
Tb 2.195 2.372 2.372
Sn 0.000 0.000 2.372
Sn 0.000 2.372 0.000
```

Calculated values
DOS at the Fermi energy, states/eV/cell: 4.0
ρ, g/cm3: 7.417

---

#R
An optimized crystal structure of TbScSn2. Source: Alexandria, functional PBE-GGA.

Geometry as extended XYZ:
```
4
Lattice="-1.647 -4.031 0.626 2.237 -1.428 -3.308 5.079 0.803 3.088" Properties=species:S:1:pos:R:3 pbc="T T T"
Tb 2.614 -2.178 -0.011
Sc 3.739 -2.102 3.436
Sn 5.379 -0.715 1.228
Sn 0.977 -3.566 2.199
```

Calculated values
DOS at the Fermi energy, states/eV/cell: 2.7
ρ, g/cm3: 7.040

---

What is the stability order? It is #R, #Q, #P, from most stable to least stable.

---

#P
An optimized crystal structure of TbScSn2. Source: Alexandria, functional PBE-GGA.

Geometry as extended XYZ:
```
4
Lattice="-3.880 1.892 -2.973 -4.657 -2.406 -0.074 -4.157 2.267 2.248" Properties=species:S:1:pos:R:3 pbc="T T T"
Sc -6.347 0.877 -0.400
Tb 0.000 0.000 0.000
Sn -3.174 0.438 -0.200
Sn -9.521 1.315 -0.600
```

Calculated values
DOS at the Fermi energy, states/eV/cell: 3.3
ρ, g/cm3: 7.195

---

#Q
An optimized crystal structure of TbScSn2. Source: Alexandria, functional PBE-GGA.

Geometry as extended XYZ:
```
4
Lattice="3.883 0.000 0.000 0.000 3.883 0.000 0.000 0.000 6.682" Properties=species:S:1:pos:R:3 pbc="T T T"
Sc 1.941 1.941 0.000
Tb 1.941 1.941 3.341
Sn 0.000 0.000 5.163
Sn 0.000 0.000 1.519
```

Calculated values
DOS at the Fermi energy, states/eV/cell: 4.4
ρ, g/cm3: 7.275

---

What is the stability order? It is #Q, #P, from most stable to least stable.

---

#P
An optimized crystal structure of ScTi2TcSn. Source: Alexandria, functional PBE-GGA.

Geometry as extended XYZ:
```
5
Lattice="4.976 0.000 0.000 0.000 4.911 0.000 0.000 0.000 4.976" Properties=species:S:1:pos:R:3 pbc="T T T"
Sc 2.488 2.455 2.488
Ti 0.000 0.000 2.488
Ti 2.488 0.000 0.000
Sn 0.000 0.000 0.000
Tc 0.000 2.455 0.000
```

Calculated values
DOS at the Fermi energy, states/eV/cell: 7.8
ρ, g/cm3: 4.880

---

#Q
An optimized crystal structure of ScTi2TcSn. Source: Alexandria, functional PBE-GGA.

Geometry as extended XYZ:
```
5
Lattice="-2.923 -1.715 2.935 -2.656 -2.155 -3.904 2.509 -3.700 0.336" Properties=species:S:1:pos:R:3 pbc="T T T"
Sc 0.000 0.000 0.000
Ti 1.254 -1.850 0.168
Ti -1.461 -0.857 1.468
Sn -1.328 -1.078 -1.952
Tc -1.535 -3.785 -0.316
```

Calculated values
DOS at the Fermi energy, states/eV/cell: 4.7
ρ, g/cm3: 5.690

---

#R
An optimized crystal structure of ScTi2TcSn. Source: Alexandria, functional PBE-GGA.

Geometry as extended XYZ:
```
5
Lattice="-4.105 -2.542 -0.901 0.574 -2.502 4.444 -2.641 3.454 2.286" Properties=species:S:1:pos:R:3 pbc="T T T"
Sc 0.287 -1.251 2.222
Ti -1.320 1.727 1.143
Ti -2.053 -1.271 -0.451
Sn 0.000 0.000 0.000
Tc -3.086 -0.795 2.914
```

Calculated values
DOS at the Fermi energy, states/eV/cell: 7.0
ρ, g/cm3: 4.792

---

What is the stability order? It is #P, #Q, #R, from most stable to least stable.

---

#P
An optimized crystal structure of ScSn2Te4. Source: Alexandria, functional PBE-GGA.

Geometry as extended XYZ:
```
14
Lattice="4.164 0.000 0.000 -2.082 7.293 0.000 0.000 0.000 14.614" Properties=species:S:1:pos:R:3 pbc="T T T"
Sc 2.082 1.689 10.961
Sc 0.000 5.605 3.654
Sn 0.000 1.965 6.288
Sn 2.082 5.328 13.595
Sn 0.000 1.965 1.020
Sn 2.082 5.328 8.327
Te 2.082 4.223 1.907
Te 2.082 4.223 5.401
Te 0.000 3.071 12.708
Te 0.000 3.071 9.214
Te 2.082 6.912 10.961
Te 0.000 0.381 3.654
Te 2.082 0.000 0.000
Te 2.082 0.000 7.307
```

Calculated values
DOS at the Fermi energy, states/eV/cell: 7.9
ρ, g/cm3: 5.933

---

#Q
An optimized crystal structure of ScSn2Te4. Source: Alexandria, functional PBE-GGA.

Geometry as extended XYZ:
```
7
Lattice="-0.823 -2.696 -5.007 -4.850 -2.309 2.040 -6.673 3.336 -3.997" Properties=species:S:1:pos:R:3 pbc="T T T"
Sc 0.000 0.000 0.000
Te -5.198 1.092 -3.031
Te -7.147 -2.761 -3.933
Te -2.425 -1.154 1.020
Te -0.411 -1.348 -2.503
Sn -3.723 -1.153 -2.064
Sn -8.622 -0.517 -4.899
```

Calculated values
DOS at the Fermi energy, states/eV/cell: 5.8
ρ, g/cm3: 5.371

---

What is the stability order? It is #P, #Q, from most stable to least stable.

---

#P
An optimized crystal structure of Th2ScSn. Source: Alexandria, functional PBE-GGA.

Geometry as extended XYZ:
```
4
Lattice="-4.800 -0.231 1.132 1.091 -1.682 4.286 0.185 4.417 1.686" Properties=species:S:1:pos:R:3 pbc="T T T"
Sc -2.400 -0.115 0.566
Sn -1.762 1.252 3.552
Th 0.093 2.208 0.843
Th 0.546 -0.841 2.143
```

Calculated values
DOS at the Fermi energy, states/eV/cell: 4.8
ρ, g/cm3: 9.432

---

#Q
An optimized crystal structure of Th2ScSn. Source: Alexandria, functional PBE-GGA.

Geometry as extended XYZ:
```
4
Lattice="3.436 0.000 0.000 1.718 2.976 0.000 1.718 0.992 12.014" Properties=species:S:1:pos:R:3 pbc="T T T"
Sc 3.436 1.984 6.007
Sn 0.000 0.000 0.000
Th 1.718 0.992 8.784
Th 5.154 2.976 3.230
```

Calculated values
DOS at the Fermi energy, states/eV/cell: 4.4
ρ, g/cm3: 8.486

---

What is the stability order? It is #P, #Q, from most stable to least stable.

---

#P
An optimized crystal structure of ScTi3Sn. Source: Alexandria, functional PBE-GGA.

Geometry as extended XYZ:
```
5
Lattice="-3.325 -0.018 3.344 -1.636 -4.104 -1.649 2.917 -2.323 2.888" Properties=species:S:1:pos:R:3 pbc="T T T"
Sc 0.000 0.000 0.000
Sn -1.023 -3.223 2.291
Ti -0.818 -2.052 -0.825
Ti 1.458 -1.162 1.444
Ti -1.663 -0.009 1.672
```

Calculated values
DOS at the Fermi energy, states/eV/cell: 7.6
ρ, g/cm3: 4.864

---

#Q
An optimized crystal structure of ScTi3Sn. Source: Alexandria, functional PBE-GGA.

Geometry as extended XYZ:
```
5
Lattice="-4.712 0.656 1.640 -0.091 -4.756 1.641 1.764 1.508 4.466" Properties=species:S:1:pos:R:3 pbc="T T T"
Sc -1.519 -1.297 3.874
Sn 0.000 0.000 0.000
Ti -0.045 -2.378 0.821
Ti 0.882 0.754 2.233
Ti -2.356 0.328 0.820
```

Calculated values
DOS at the Fermi energy, states/eV/cell: 13.4
ρ, g/cm3: 4.003

---

What is the stability order? It is #Q, #P, from most stable to least stable.

---

#P
An optimized crystal structure of Sc3TiSn. Source: Alexandria, functional PBE-GGA.

Geometry as extended XYZ:
```
5
Lattice="5.302 0.000 0.000 0.000 5.302 0.000 0.000 0.000 5.302" Properties=species:S:1:pos:R:3 pbc="T T T"
Sc 0.000 2.651 0.000
Sc 0.000 0.000 2.651
Sc 2.651 0.000 0.000
Sn 0.000 0.000 0.000
Ti 2.651 2.651 2.651
```

Calculated values
DOS at the Fermi energy, states/eV/cell: 35.5
ρ, g/cm3: 3.359

---

#Q
An optimized crystal structure of Sc3TiSn. Source: Alexandria, functional PBE-GGA.

Geometry as extended XYZ:
```
5
Lattice="4.971 0.000 0.000 0.000 4.971 0.000 0.000 0.000 4.971" Properties=species:S:1:pos:R:3 pbc="T T T"
Sc 0.000 2.485 0.000
Sc 0.000 0.000 2.485
Sc 2.485 0.000 0.000
Sn 2.485 2.485 2.485
Ti 0.000 0.000 0.000
```

Calculated values
DOS at the Fermi energy, states/eV/cell: 5.3
ρ, g/cm3: 4.076

---

What is the stability order? It is #Q, #P, from most stable to least stable.

---

#P
An optimized crystal structure of ScTl2Sn. Source: Alexandria, functional PBE-GGA.

Geometry as extended XYZ:
```
4
Lattice="-1.489 2.052 2.333 -1.829 -1.368 2.580 8.190 -0.237 7.979" Properties=species:S:1:pos:R:3 pbc="T T T"
Sc 0.000 0.000 0.000
Tl 5.752 -0.115 6.316
Tl -0.879 0.562 6.577
Sn 2.436 0.224 6.446
```

Calculated values
DOS at the Fermi energy, states/eV/cell: 2.8
ρ, g/cm3: 8.208

---

#Q
An optimized crystal structure of ScTl2Sn. Source: Alexandria, functional PBE-GGA.

Geometry as extended XYZ:
```
4
Lattice="0.000 3.770 3.770 3.770 0.000 3.770 3.770 3.770 0.000" Properties=species:S:1:pos:R:3 pbc="T T T"
Sc 0.000 0.000 0.000
Tl 1.885 1.885 1.885
Tl 5.656 5.656 5.656
Sn 3.770 3.770 3.770
```

Calculated values
DOS at the Fermi energy, states/eV/cell: 5.2
ρ, g/cm3: 8.867

---

What is the stability order? It is #Q, #P, from most stable to least stable.

---

#P
An optimized crystal structure of ScTl2Sn. Source: Alexandria, functional PBE-GGA.

Geometry as extended XYZ:
```
8
Lattice="8.428 0.000 0.000 0.000 8.428 0.000 4.214 4.214 3.080" Properties=species:S:1:pos:R:3 pbc="T T T"
Sc 4.214 4.214 0.000
Sc 4.214 8.428 1.540
Tl 6.330 2.107 0.770
Tl 2.097 6.321 0.770
Tl 6.321 6.311 2.310
Tl 10.535 10.544 2.310
Sn 0.000 0.000 0.000
Sn 8.428 4.214 1.540
```

Calculated values
DOS at the Fermi energy, states/eV/cell: 6.7
ρ, g/cm3: 8.690

---

#Q
An optimized crystal structure of ScTl2Sn. Source: Alexandria, functional PBE-GGA.

Geometry as extended XYZ:
```
4
Lattice="-3.754 -0.989 -2.811 2.362 -3.438 -1.945 -1.615 -2.909 3.180" Properties=species:S:1:pos:R:3 pbc="T T T"
Sc -1.877 -0.494 -1.406
Tl -0.808 -1.454 1.590
Tl 1.181 -1.719 -0.972
Sn -1.504 -3.668 -0.788
```

Calculated values
DOS at the Fermi energy, states/eV/cell: 3.1
ρ, g/cm3: 9.362

---

What is the stability order? It is #Q, #P, from most stable to least stable.

---

#P
An optimized crystal structure of Sc2Tl2Sn. Source: Alexandria, functional PBE-GGA.

Geometry as extended XYZ:
```
10
Lattice="-3.394 -6.376 -4.260 -2.516 -3.474 7.205 -3.085 1.786 -0.216" Properties=species:S:1:pos:R:3 pbc="T T T"
Sc -3.830 -2.559 4.007
Sc -5.908 -6.274 2.971
Sc -5.165 -5.505 -1.278
Sc -3.087 -1.790 -0.242
Tl -3.455 -5.398 4.697
Tl -4.539 -7.741 0.814
Tl -2.455 -4.452 -1.752
Tl -1.371 -2.110 2.131
Sn 0.000 0.000 0.000
Sn -2.955 -4.925 1.473
```

Calculated values
DOS at the Fermi energy, states/eV/cell: 5.0
ρ, g/cm3: 8.165

---

#Q
An optimized crystal structure of Sc2Tl2Sn. Source: Alexandria, functional PBE-GGA.

Geometry as extended XYZ:
```
10
Lattice="7.558 0.000 0.000 0.000 7.558 0.000 0.000 0.000 4.514" Properties=species:S:1:pos:R:3 pbc="T T T"
Sc 2.612 6.391 0.000
Sc 6.391 4.946 0.000
Sc 4.946 1.167 0.000
Sc 1.167 2.612 0.000
Tl 1.150 4.929 2.257
Tl 4.929 6.408 2.257
Tl 6.408 2.629 2.257
Tl 2.629 1.150 2.257
Sn 0.000 0.000 0.000
Sn 3.779 3.779 0.000
```

Calculated values
DOS at the Fermi energy, states/eV/cell: 9.4
ρ, g/cm3: 7.951

---

What is the stability order? It is #Q, #P, from most stable to least stable.

---

#P
An optimized crystal structure of Sc6Tl5Sn. Source: Alexandria, functional PBE-GGA.

Geometry as extended XYZ:
```
12
Lattice="-4.294 -1.613 8.328 3.527 -4.295 2.463 4.727 1.576 3.481" Properties=species:S:1:pos:R:3 pbc="T T T"
Sc -1.363 -1.047 7.601
Sc 2.556 -2.400 4.677
Sc -0.207 -1.461 2.692
Sc -0.559 -4.447 8.099
Sc 1.405 -1.932 9.595
Sc 5.324 -3.286 6.671
Tl 1.584 -0.482 6.889
Tl 2.751 -0.907 1.981
Tl -0.383 -2.954 5.396
Tl 5.504 -1.812 3.963
Tl 2.376 -3.850 7.383
Sn 0.000 0.000 0.000
```

Calculated values
DOS at the Fermi energy, states/eV/cell: 9.4
ρ, g/cm3: 7.878

---

#Q
An optimized crystal structure of Sc6Tl5Sn. Source: Alexandria, functional PBE-GGA.

Geometry as extended XYZ:
```
12
Lattice="4.946 -0.008 -1.389 -3.719 7.109 -3.763 -0.208 -1.112 8.789" Properties=species:S:1:pos:R:3 pbc="T T T"
Sc 0.827 0.123 2.955
Sc 1.345 3.166 4.804
Sc 2.721 1.452 0.190
Sc -1.702 4.536 3.447
Sc -0.326 2.822 -1.166
Sc 0.192 5.866 0.682
Tl 1.659 0.304 5.927
Tl -1.383 1.640 4.587
Tl 0.509 2.994 1.819
Tl -2.544 4.356 0.439
Tl -0.640 5.685 -2.289
Sn 0.000 0.000 0.000
```

Calculated values
DOS at the Fermi energy, states/eV/cell: 8.5
ρ, g/cm3: 8.356

---

What is the stability order? It is #Q, #P, from most stable to least stable.